1.
Compound: CeTh2Tc
Source: the Alexandria database
Functional: PBE-GGA
Structure: relaxed

```
CeTh2Tc
1.0
7.139 0.000 0.000
0.000 9.848 0.000
0.000 0.000 6.349
Ce Th Tc
4 8 4
Cartesian
0.353 2.462 0.993
3.217 7.386 4.167
3.922 2.462 2.181
6.786 7.386 5.356
1.193 0.610 4.201
1.193 4.314 4.201
2.376 5.534 1.027
2.376 9.238 1.027
4.763 0.610 5.322
4.763 4.314 5.322
5.946 5.534 2.147
5.946 9.238 2.147
1.052 7.386 2.912
2.517 2.462 6.086
4.622 7.386 0.263
6.087 2.462 3.437
```

Computed properties:
DOS(E_F): 25.82 states/eV/cell
E_tot: -7.90 eV/atom

2.
Compound: CeTh6Tc3
Source: the Alexandria database
Functional: PBE-GGA
Structure: relaxed

```
CeTh6Tc3
1.0
6.099 -6.326 0.000
6.099 6.326 0.000
0.000 0.000 6.921
Ce Th Tc
2 12 6
Cartesian
6.099 3.977 3.461
6.099 -3.977 0.000
3.247 3.028 1.546
6.099 3.962 6.777
2.741 0.007 3.457
2.741 -0.007 6.917
6.099 0.862 1.730
8.952 3.028 1.546
3.247 -3.028 5.007
6.099 -0.862 5.190
9.458 0.007 3.457
9.458 -0.007 6.917
6.099 -3.962 3.317
8.952 -3.028 5.007
6.099 6.258 1.658
4.704 1.567 5.485
7.495 1.567 5.485
4.704 -1.567 2.024
7.495 -1.567 2.024
6.099 -6.258 5.118
```

Computed properties:
DOS(E_F): 24.89 states/eV/cell
E_tot: -8.16 eV/atom

3.
Compound: CeTh2Tc
Source: the Alexandria database
Functional: PBE-GGA
Structure: relaxed

```
CeTh2Tc
1.0
6.813 0.000 0.000
0.000 4.644 0.000
-3.039 0.000 6.799
Ce Th Tc
2 4 2
Cartesian
-0.080 1.161 1.667
3.854 3.483 5.132
-0.930 1.161 6.227
0.518 3.483 3.923
3.256 1.161 2.876
4.705 3.483 0.572
1.981 3.483 1.455
1.793 1.161 5.344
```

Computed properties:
DOS(E_F): 12.80 states/eV/cell
E_tot: -7.80 eV/atom

4.
Compound: CeThTc4
Source: the Alexandria database
Functional: PBE-GGA
Structure: relaxed

```
CeThTc4
1.0
0.000 3.860 3.860
3.860 0.000 3.860
3.860 3.860 0.000
Ce Th Tc
1 1 4
Cartesian
0.000 0.000 0.000
1.930 1.930 1.930
4.826 2.894 2.894
2.894 4.826 2.894
2.894 2.894 4.826
4.826 4.826 4.826
```

Computed properties:
DOS(E_F): 14.00 states/eV/cell
E_tot: -9.21 eV/atom